(1)
Entry from Alexandria via LeMat-Bulk: CdPbI2 after structural relaxation (PBE-GGA).

Structure (CIF):
```
data_CdPbI2
_symmetry_space_group_name_H-M 'P 1'
_symmetry_Int_Tables_number 1
_cell_length_a 9.475
_cell_length_b 9.475
_cell_length_c 7.748
_cell_angle_alpha 52.30
_cell_angle_beta 52.30
_cell_angle_gamma 90.00
loop_
_symmetry_equiv_pos_as_xyz
'x,y,z'
loop_
_atom_site_label
_atom_site_fract_x
_atom_site_fract_y
_atom_site_fract_z
Pb1 0.000 0.000 0.000
Pb2 0.750 0.250 0.500
I1 0.676 0.125 0.250
I2 0.074 0.625 0.250
I3 0.375 0.324 0.750
I4 0.875 0.926 0.750
Cd1 0.500 0.500 0.000
Cd2 0.250 0.750 0.500
```

Calculated values
Its space group is I-42d, No. 122. As for the energy above the most stable polymorph in this dataset: 0 meV per atom. As for the formation energy (no corrections): -20.33 kJ/mol of atoms.


(2)
Entry from Alexandria via LeMat-Bulk: LaSnOs after structural relaxation (PBE-GGA).

Structure (CIF):
```
data_LaSnOs
_symmetry_space_group_name_H-M 'P 1'
_symmetry_Int_Tables_number 1
_cell_length_a 3.502
_cell_length_b 12.719
_cell_length_c 6.443
_cell_angle_alpha 90.00
_cell_angle_beta 90.00
_cell_angle_gamma 90.00
loop_
_symmetry_equiv_pos_as_xyz
'x,y,z'
loop_
_atom_site_label
_atom_site_fract_x
_atom_site_fract_y
_atom_site_fract_z
Os1 0.000 0.500 0.000
Os2 0.000 0.500 0.500
Os3 0.500 0.000 0.000
Os4 0.500 0.000 0.500
Sn1 0.000 0.885 0.250
Sn2 0.000 0.115 0.750
Sn3 0.500 0.385 0.250
Sn4 0.500 0.615 0.750
La1 0.000 0.154 0.250
La2 0.000 0.846 0.750
La3 0.500 0.654 0.250
La4 0.500 0.346 0.750
```

Calculated values
Its space group is Cmcm, No. 63. As for the energy of formation: -0.266 eV per atom.


(3)
Entry from Alexandria via LeMat-Bulk: AlCdSi after structural relaxation (PBE-GGA).

Structure (CIF):
```
data_AlCdSi
_symmetry_space_group_name_H-M 'P 1'
_symmetry_Int_Tables_number 1
_cell_length_a 4.077
_cell_length_b 5.644
_cell_length_c 5.696
_cell_angle_alpha 82.08
_cell_angle_beta 73.01
_cell_angle_gamma 73.15
loop_
_symmetry_equiv_pos_as_xyz
'x,y,z'
loop_
_atom_site_label
_atom_site_fract_x
_atom_site_fract_y
_atom_site_fract_z
Si1 0.036 0.811 0.582
Si2 0.410 0.506 0.275
Al1 0.518 0.043 0.411
Al2 0.935 0.669 0.038
Cd1 0.726 0.398 0.682
Cd2 0.224 0.095 0.989
```

Calculated values
Its space group is P1, No. 1. As for the formation energy (no corrections): 18.74 kJ/mol of atoms.


(4)
Entry from Alexandria via LeMat-Bulk: LiCoMo after structural relaxation (PBE-GGA).

Structure (CIF):
```
data_LiCoMo
_symmetry_space_group_name_H-M 'P 1'
_symmetry_Int_Tables_number 1
_cell_length_a 4.372
_cell_length_b 4.372
_cell_length_c 4.372
_cell_angle_alpha 145.76
_cell_angle_beta 126.16
_cell_angle_gamma 65.37
loop_
_symmetry_equiv_pos_as_xyz
'x,y,z'
loop_
_atom_site_label
_atom_site_fract_x
_atom_site_fract_y
_atom_site_fract_z
Co1 0.005 0.005 0.000
Li1 0.663 0.663 0.000
Mo1 0.333 0.333 0.000
```

Calculated values
Its space group is Imm2, No. 44. As for the energy above the most stable polymorph in this dataset: 46 meV per atom. As for the energy of formation: 0.320 eV per atom.


(5)
Entry from Alexandria via LeMat-Bulk: Ta2CuTe after structural relaxation (PBE-GGA).

Structure (CIF):
```
data_Ta2CuTe
_symmetry_space_group_name_H-M 'P 1'
_symmetry_Int_Tables_number 1
_cell_length_a 6.949
_cell_length_b 4.720
_cell_length_c 3.214
_cell_angle_alpha 89.96
_cell_angle_beta 62.47
_cell_angle_gamma 125.31
loop_
_symmetry_equiv_pos_as_xyz
'x,y,z'
loop_
_atom_site_label
_atom_site_fract_x
_atom_site_fract_y
_atom_site_fract_z
Cu1 0.500 0.500 0.000
Ta1 0.000 0.000 0.000
Ta2 0.500 0.000 0.500
Te1 0.000 0.500 0.500
```

Calculated values
Its space group is Cmmm, No. 65. As for the formation energy (no corrections): 33.15 kJ/mol of atoms.


(6)
Entry from Alexandria via LeMat-Bulk: SbMoSe2 after structural relaxation (PBE-GGA).

Structure (CIF):
```
data_SbMoSe2
_symmetry_space_group_name_H-M 'P 1'
_symmetry_Int_Tables_number 1
_cell_length_a 9.166
_cell_length_b 9.166
_cell_length_c 9.166
_cell_angle_alpha 21.61
_cell_angle_beta 21.61
_cell_angle_gamma 21.61
loop_
_symmetry_equiv_pos_as_xyz
'x,y,z'
loop_
_atom_site_label
_atom_site_fract_x
_atom_site_fract_y
_atom_site_fract_z
Mo1 0.500 0.500 0.500
Sb1 0.756 0.756 0.756
Se1 0.019 0.019 0.019
Se2 0.225 0.225 0.225
```

Calculated values
Its space group is R3m, No. 160. As for the formation energy (no corrections): -4.37 kJ/mol of atoms.


(7)
Entry from Alexandria via LeMat-Bulk: DyTh5Sc after structural relaxation (PBE-GGA).

Structure (CIF):
```
data_DyTh5Sc
_symmetry_space_group_name_H-M 'P 1'
_symmetry_Int_Tables_number 1
_cell_length_a 6.460
_cell_length_b 6.540
_cell_length_c 12.601
_cell_angle_alpha 101.88
_cell_angle_beta 90.00
_cell_angle_gamma 119.60
loop_
_symmetry_equiv_pos_as_xyz
'x,y,z'
loop_
_atom_site_label
_atom_site_fract_x
_atom_site_fract_y
_atom_site_fract_z
Dy1 0.762 0.000 0.250
Dy2 0.238 0.000 0.750
Th1 0.254 0.469 0.181
Th2 0.660 0.347 0.550
Th3 0.216 0.469 0.681
Th4 0.264 0.000 0.250
Th5 0.314 0.653 0.950
Th6 0.686 0.347 0.050
Th7 0.736 0.000 0.750
Th8 0.784 0.531 0.319
Th9 0.340 0.653 0.450
Th10 0.746 0.531 0.819
Sc1 0.000 0.000 0.000
Sc2 0.000 0.000 0.500
```

Calculated values
Its space group is C2/c, No. 15. As for the energy of formation: 0.236 eV per atom.


(8)
Entry from Alexandria via LeMat-Bulk: Co2Cu2Pt after structural relaxation (PBE-GGA).

Structure (CIF):
```
data_Co2Cu2Pt
_symmetry_space_group_name_H-M 'P 1'
_symmetry_Int_Tables_number 1
_cell_length_a 6.481
_cell_length_b 6.481
_cell_length_c 6.481
_cell_angle_alpha 150.32
_cell_angle_beta 150.32
_cell_angle_gamma 42.48
loop_
_symmetry_equiv_pos_as_xyz
'x,y,z'
loop_
_atom_site_label
_atom_site_fract_x
_atom_site_fract_y
_atom_site_fract_z
Co1 0.250 0.750 0.500
Co2 0.750 0.250 0.500
Cu1 0.600 0.600 0.000
Cu2 0.400 0.400 0.000
Pt1 0.000 0.000 0.000
```

Calculated values
Its space group is I4/mmm, No. 139. As for the energy above the most stable polymorph in this dataset: 133 meV per atom. As for the energy of formation: 0.364 eV per atom.


(9)
Entry from Alexandria via LeMat-Bulk: RbLaBr2 after structural relaxation (PBE-GGA).

Structure (CIF):
```
data_RbLaBr2
_symmetry_space_group_name_H-M 'P 1'
_symmetry_Int_Tables_number 1
_cell_length_a 7.729
_cell_length_b 7.729
_cell_length_c 8.521
_cell_angle_alpha 63.03
_cell_angle_beta 63.03
_cell_angle_gamma 90.00
loop_
_symmetry_equiv_pos_as_xyz
'x,y,z'
loop_
_atom_site_label
_atom_site_fract_x
_atom_site_fract_y
_atom_site_fract_z
Br1 0.660 0.125 0.250
Br2 0.090 0.625 0.250
Br3 0.375 0.340 0.750
Br4 0.875 0.910 0.750
Rb1 0.500 0.500 0.000
Rb2 0.250 0.750 0.500
La1 0.000 0.000 0.000
La2 0.750 0.250 0.500
```

Calculated values
Its space group is I-42d, No. 122. As for the energy above the most stable polymorph in this dataset: 178 meV per atom. As for the formation energy (no corrections): -107.66 kJ/mol of atoms.


(10)
Entry from Alexandria via LeMat-Bulk: MgCu2Se4 after structural relaxation (PBE-GGA).

Structure (CIF):
```
data_MgCu2Se4
_symmetry_space_group_name_H-M 'P 1'
_symmetry_Int_Tables_number 1
_cell_length_a 10.935
_cell_length_b 10.935
_cell_length_c 10.935
_cell_angle_alpha 22.07
_cell_angle_beta 22.07
_cell_angle_gamma 22.07
loop_
_symmetry_equiv_pos_as_xyz
'x,y,z'
loop_
_atom_site_label
_atom_site_fract_x
_atom_site_fract_y
_atom_site_fract_z
Mg1 0.000 0.000 0.000
Cu1 0.285 0.285 0.285
Cu2 0.715 0.715 0.715
Se1 0.156 0.156 0.156
Se2 0.844 0.844 0.844
Se3 0.388 0.388 0.388
Se4 0.612 0.612 0.612
```

Calculated values
Its space group is R-3m, No. 166. As for the energy above the most stable polymorph in this dataset: 29 meV per atom. As for the formation energy (no corrections): -18.01 kJ/mol of atoms.


(11)
Entry from Alexandria via LeMat-Bulk: BeReP2O after structural relaxation (PBE-GGA).

Structure (CIF):
```
data_BeReP2O
_symmetry_space_group_name_H-M 'P 1'
_symmetry_Int_Tables_number 1
_cell_length_a 4.738
_cell_length_b 4.738
_cell_length_c 3.701
_cell_angle_alpha 90.00
_cell_angle_beta 90.00
_cell_angle_gamma 90.00
loop_
_symmetry_equiv_pos_as_xyz
'x,y,z'
loop_
_atom_site_label
_atom_site_fract_x
_atom_site_fract_y
_atom_site_fract_z
Re1 0.000 0.000 0.000
Be1 0.500 0.500 0.500
O1 0.000 0.000 0.500
P1 0.000 0.500 0.000
P2 0.500 0.000 0.000
```

Calculated values
Its space group is P4/mmm, No. 123. As for the energy above the most stable polymorph in this dataset: 86 meV per atom. As for the formation energy (no corrections): 26.56 kJ/mol of atoms.


(12)
Entry from Alexandria via LeMat-Bulk: LaIr2Os after structural relaxation (PBE-GGA).

Structure (CIF):
```
data_LaIr2Os
_symmetry_space_group_name_H-M 'P 1'
_symmetry_Int_Tables_number 1
_cell_length_a 4.182
_cell_length_b 4.182
_cell_length_c 4.086
_cell_angle_alpha 90.00
_cell_angle_beta 90.00
_cell_angle_gamma 90.00
loop_
_symmetry_equiv_pos_as_xyz
'x,y,z'
loop_
_atom_site_label
_atom_site_fract_x
_atom_site_fract_y
_atom_site_fract_z
Ir1 0.000 0.000 0.000
Ir2 0.500 0.500 0.000
La1 0.500 0.000 0.500
Os1 0.000 0.500 0.500
```

Calculated values
Its space group is P4/mmm, No. 123. As for the energy above the most stable polymorph in this dataset: 120 meV per atom. As for the energy of formation: 0.165 eV per atom.


Ordered total moment results: 0.00, 0.00, 0.00, 0.00, 0.00, 0.11, 0.00, 0.75, 0.46, 0.00, 0.00, 0.00; unit μB/atom.